The following is a PBE-GGA calculation of an optimized crystal structure of Pu4ScRu5, from Alexandria via LeMat-Bulk.

Cell lengths 3.305, 3.305, 17.136 Å; angles 90.00, 90.00, 90.00 degrees
Site moments in Bohr magnetons follow the coordinates.
Positions (direct):
1 Pu 0.000 0.000 0.192  4.64
2 Pu 0.000 0.000 0.602  -4.92
3 Pu 0.000 0.000 0.398  -4.92
4 Pu 0.000 0.000 0.808  4.64
5 Ru 0.500 0.500 0.500  0.66
6 Ru 0.500 0.500 0.711  -0.12
7 Ru 0.500 0.500 0.095  -0.42
8 Ru 0.500 0.500 0.905  -0.42
9 Ru 0.500 0.500 0.289  -0.12
10 Sc 0.000 0.000 0.000  0.10

- density of states at the Fermi level (states/eV per cell) = 27.8
- ΔH_f (0 K) (eV per formula unit) = -1.82